1.
Below is a relaxed structure of Pd12PtAu7, with properties calculated at the PBE level.

Calculated values
Symmetry: R-3
Energy relative to the elements: 178 kJ/mol of formula units
DOS(E_F): 1.52 states/eV/atom

a = 6.9952 Å, b = 6.9952 Å, c = 6.9952 Å
α = 89.42°, β = 89.42°, γ = 89.42°
Element x y z (fractional)
Pd  0.8708  0.2633  0.7469
Pd  0.7367  0.2531  0.1292
Pd  0.6220  0.1442  0.4940
Pd  0.8558  0.5060  0.3780
Pd  0.2531  0.1292  0.7367
Pd  0.5060  0.3780  0.8558
Pd  0.4940  0.6220  0.1442
Pd  0.7469  0.8708  0.2633
Pd  0.1442  0.4940  0.6220
Pd  0.3780  0.8558  0.5060
Pd  0.2633  0.7469  0.8708
Pd  0.1292  0.7367  0.2531
Pt  0.0000  0.0000  0.0000
Au  0.8449  0.6160  0.9459
Au  0.3840  0.0541  0.1551
Au  0.0541  0.1551  0.3840
Au  0.5000  0.5000  0.5000
Au  0.9459  0.8449  0.6160
Au  0.6160  0.9459  0.8449
Au  0.1551  0.3840  0.0541

=====

2.
Below is a relaxed structure of TlSbPCl2, with properties calculated at the PBE level.

Calculated values
Energy relative to the elements, uncorrected: -3.64 kcal/mol of atoms
Symmetry: P4/mmm
Distance to the lowest polymorph of the same formula: 0.00 eV per formula unit
DOS(E_F): 0.60 states/eV/atom

a = 5.4261 Å, b = 5.2442 Å, c = 5.4261 Å
α = 90.00°, β = 90.00°, γ = 90.00°
Last column: magnetic moment on the atom in μB.
Element x y z (fractional)
Sb  0.0000  0.0000  0.0000  -0.03
Tl  0.5000  0.5000  0.5000  0.01
P  0.0000  0.5000  0.0000  0.24
Cl  0.0000  0.0000  0.5000  0.02
Cl  0.5000  0.0000  0.0000  0.02

=====

3.
Below is a relaxed structure of Fe2Au3, with properties calculated at the PBE level.

Calculated values
Symmetry: R-3m
Energy relative to the elements: 108 kJ/mol of formula units
DOS(E_F): 0.97 states/eV/atom

a = 11.3069 Å, b = 11.3069 Å, c = 11.3069 Å
α = 14.65°, β = 14.65°, γ = 14.65°
Last column: magnetic moment on the atom in μB.
Element x y z (fractional)
Fe  0.6014  0.6014  0.6014  2.95
Fe  0.3986  0.3986  0.3986  2.95
Au  0.0000  0.0000  0.0000  0.04
Au  0.7960  0.7960  0.7960  0.02
Au  0.2040  0.2040  0.2040  0.02

=====

4.
Below is a relaxed structure of Tb16Pr6Dy7, with properties calculated at the PBE level.

Calculated values
Symmetry: Fm-3m
Energy relative to the elements: 637 kJ/mol of formula units
DOS(E_F): 1.75 states/eV/atom

a = 11.2228 Å, b = 11.2228 Å, c = 11.2228 Å
α = 60.00°, β = 60.00°, γ = 60.00°
Element x y z (fractional)
Tb  0.8734  0.8734  0.3797
Tb  0.8734  0.8734  0.8734
Tb  0.8734  0.3797  0.8734
Tb  0.3797  0.8734  0.8734
Tb  0.1266  0.1266  0.1266
Tb  0.1266  0.1266  0.6203
Tb  0.1266  0.6203  0.1266
Tb  0.6203  0.1266  0.1266
Tb  0.6515  0.6515  0.0455
Tb  0.6515  0.6515  0.6515
Tb  0.6515  0.0455  0.6515
Tb  0.0455  0.6515  0.6515
Tb  0.3485  0.3485  0.3485
Tb  0.3485  0.3485  0.9545
Tb  0.3485  0.9545  0.3485
Tb  0.9545  0.3485  0.3485
Pr  0.2729  0.7271  0.2729
Pr  0.7271  0.2729  0.7271
Pr  0.7271  0.2729  0.2729
Pr  0.2729  0.7271  0.7271
Pr  0.7271  0.7271  0.2729
Pr  0.2729  0.2729  0.7271
Dy  0.0000  0.0000  0.0000
Dy  0.5000  0.0000  0.5000
Dy  0.0000  0.5000  0.0000
Dy  0.0000  0.5000  0.5000
Dy  0.5000  0.0000  0.0000
Dy  0.0000  0.0000  0.5000
Dy  0.5000  0.5000  0.0000

=====

5.
Below is a relaxed structure of As2RuSe, with properties calculated at the PBE level.

Calculated values
Energy relative to the elements, uncorrected: 6.22 kcal/mol of atoms
Symmetry: C2/m
DOS(E_F): 0.62 states/eV/atom

a = 4.7232 Å, b = 4.7232 Å, c = 5.0266 Å
α = 76.64°, β = 76.64°, γ = 40.60°
Element x y z (fractional)
Ru  0.2500  0.2500  0.2500
As  0.9813  0.9813  0.0442
As  0.5187  0.5187  0.4558
Se  0.7500  0.7500  0.7500

=====

6.
Below is a relaxed structure of Zr3SiI, with properties calculated at the PBE level.

Calculated values
Energy relative to the elements, uncorrected: 7.80 kcal/mol of atoms
Symmetry: Pm-3m
Distance to the lowest polymorph of the same formula: 0.00 eV per formula unit
DOS(E_F): 2.02 states/eV/atom

a = 5.0580 Å, b = 5.0580 Å, c = 5.0580 Å
α = 90.00°, β = 90.00°, γ = 90.00°
Element x y z (fractional)
I  0.5000  0.5000  0.5000
Si  0.0000  0.0000  0.0000
Zr  0.0000  0.5000  0.0000
Zr  0.0000  0.0000  0.5000
Zr  0.5000  0.0000  0.0000

=====

7.
Below is a relaxed structure of HoTmThIn, with properties calculated at the PBE level.

Calculated values
Symmetry: F-43m
Energy relative to the elements: -5 kJ/mol of formula units
DOS(E_F): 1.82 states/eV/atom

a = 5.4369 Å, b = 5.4369 Å, c = 5.4369 Å
α = 60.00°, β = 60.00°, γ = 60.00°
Last column: magnetic moment on the atom in μB.
Element x y z (fractional)
Tm  0.2500  0.2500  0.2500  0.21
Ho  0.7500  0.7500  0.7500  0.20
Th  0.0000  0.0000  0.0000  0.33
In  0.5000  0.5000  0.5000  0.00

=====

8.
Below is a relaxed structure of Na2CrI4, with properties calculated at the PBE level.

Calculated values
Energy relative to the elements, uncorrected: -16.82 kcal/mol of atoms
Symmetry: I4/mmm
Distance to the lowest polymorph of the same formula: 0.37 eV per formula unit
DOS(E_F): 0.04 states/eV/atom

a = 5.7371 Å, b = 5.7371 Å, c = 8.9049 Å
α = 71.21°, β = 71.21°, γ = 90.00°
Last column: magnetic moment on the atom in μB.
Element x y z (fractional)
I  0.8249  0.8249  0.3502  -0.02
I  0.1751  0.1751  0.6498  -0.02
I  0.0000  0.5000  0.0000  -0.02
I  0.5000  0.0000  0.0000  -0.02
Cr  0.0000  0.0000  0.0000  3.67
Na  0.6295  0.6295  0.7410  0.00
Na  0.3705  0.3705  0.2590  0.00

=====

9.
Below is a relaxed structure of MnCoB2, with properties calculated at the PBE level.

Calculated values
Symmetry: I4_1/amd
Distance to the lowest polymorph of the same formula: 3.75 eV per formula unit
Energy relative to the elements: 209 kJ/mol of formula units
DOS(E_F): 1.59 states/eV/atom

a = 3.3581 Å, b = 3.3581 Å, c = 7.3624 Å
α = 76.82°, β = 76.82°, γ = 90.00°
Element x y z (fractional)
B  0.8761  0.1250  0.2500
B  0.8739  0.6250  0.2500
B  0.3750  0.1239  0.7500
B  0.8750  0.1261  0.7500
Mn  0.5000  0.5000  0.0000
Mn  0.2500  0.7500  0.5000
Co  0.0000  0.0000  0.0000
Co  0.7500  0.2500  0.5000

=====

10.
Below is a relaxed structure of HoBeTl, with properties calculated at the PBE level.

Calculated values
Symmetry: C2/m
Energy relative to the elements: -19 kJ/mol of formula units
DOS(E_F): 0.91 states/eV/atom

a = 3.8158 Å, b = 3.8368 Å, c = 12.4054 Å
α = 62.34°, β = 81.15°, γ = 60.18°
Last column: magnetic moment on the atom in μB.
Element x y z (fractional)
Ho  0.9454  0.7756  0.3337  0.07
Ho  0.0546  0.2244  0.6663  0.07
Be  0.6666  0.1663  0.5005  0.02
Be  0.3334  0.8337  0.4995  0.02
Tl  0.2016  0.4896  0.1072  0.00
Tl  0.7984  0.5104  0.8928  0.00

=====

11.
Below is a relaxed structure of Nd3In5F12, with properties calculated at the PBE level.

Calculated values
Energy relative to the elements, uncorrected: -58.54 kcal/mol of atoms
Symmetry: Ia-3d
DOS(E_F): 0.34 states/eV/atom

a = 12.8947 Å, b = 12.8947 Å, c = 12.8947 Å
α = 109.47°, β = 109.47°, γ = 109.47°
Element x y z (fractional)
Nd  0.7500  0.3750  0.1250
Nd  0.8750  0.7500  0.1250
Nd  0.3750  0.7500  0.6250
Nd  0.2500  0.1250  0.3750
Nd  0.8750  0.1250  0.2500
Nd  0.3750  0.6250  0.2500
Nd  0.6250  0.3750  0.7500
Nd  0.1250  0.8750  0.7500
Nd  0.7500  0.8750  0.6250
Nd  0.6250  0.2500  0.3750
Nd  0.1250  0.2500  0.8750
Nd  0.2500  0.6250  0.8750
In  0.1250  0.3750  0.2500
In  0.0000  0.5000  0.0000
In  0.0000  0.0000  0.0000
In  0.3750  0.2500  0.1250
In  0.5000  0.0000  0.5000
In  0.5000  0.5000  0.0000
In  0.1250  0.7500  0.3750
In  0.7500  0.1250  0.8750
In  0.7500  0.6250  0.3750
In  0.3750  0.1250  0.7500
In  0.6250  0.8750  0.2500
In  0.5000  0.5000  0.5000
In  0.5000  0.0000  0.0000
In  0.0000  0.0000  0.5000
In  0.2500  0.3750  0.6250
In  0.2500  0.8750  0.1250
In  0.0000  0.5000  0.5000
In  0.8750  0.2500  0.6250
In  0.6250  0.7500  0.8750
In  0.8750  0.6250  0.7500
F  0.7463  0.1330  0.0822
F  0.3359  0.5822  0.4492
F  0.9178  0.3670  0.2537
F  0.5822  0.2463  0.1330
F  0.6133  0.7463  0.6641
F  0.9178  0.5508  0.1641
F  0.3359  0.7537  0.3867
F  0.0508  0.8867  0.1330
F  0.5508  0.9178  0.6641
F  0.7463  0.6133  0.1641
F  0.7537  0.4178  0.3670
F  0.8359  0.9492  0.0822
F  0.1330  0.7463  0.5822
F  0.3670  0.4492  0.1133
F  0.1133  0.9492  0.3670
F  0.3867  0.1330  0.5508
F  0.1133  0.1641  0.2463
F  0.4178  0.6641  0.0508
F  0.8359  0.8867  0.2537
F  0.1330  0.3867  0.0508
F  0.3670  0.9178  0.7537
F  0.5508  0.6330  0.3867
F  0.9492  0.8359  0.5822
F  0.7537  0.3359  0.8867
F  0.4492  0.3670  0.6133
F  0.0508  0.1641  0.4178
F  0.2463  0.6641  0.1133
F  0.1641  0.1133  0.7463
F  0.6330  0.0822  0.2463
F  0.8670  0.6133  0.9492
F  0.5822  0.3359  0.9492
F  0.6133  0.8670  0.4492
F  0.8867  0.8359  0.7537
F  0.8867  0.0508  0.6330
F  0.8670  0.2537  0.4178
F  0.1641  0.0508  0.9178
F  0.6330  0.5508  0.8867
F  0.4492  0.0822  0.3359
F  0.2537  0.3867  0.8359
F  0.2463  0.5822  0.6330
F  0.9492  0.1133  0.8670
F  0.6641  0.2463  0.6133
F  0.4178  0.7537  0.8670
F  0.0822  0.4492  0.8359
F  0.3867  0.2537  0.3359
F  0.0822  0.6330  0.7463
F  0.6641  0.4178  0.5508
F  0.2537  0.8670  0.9178

=====

12.
Below is a relaxed structure of ZrTi3Fe, with properties calculated at the PBE level.

Calculated values
Symmetry: Pm-3m
Distance to the lowest polymorph of the same formula: 7.90 eV per formula unit
Energy relative to the elements: 790 kJ/mol of formula units
DOS(E_F): 1.74 states/eV/atom

a = 4.6780 Å, b = 4.6780 Å, c = 4.6780 Å
α = 90.00°, β = 90.00°, γ = 90.00°
Element x y z (fractional)
Fe  0.5000  0.5000  0.5000
Zr  0.0000  0.0000  0.0000
Ti  0.0000  0.5000  0.0000
Ti  0.0000  0.0000  0.5000
Ti  0.5000  0.0000  0.0000